(1)
First-principles (PBEsol) data for crystalline LaTaHgF2 at its relaxed geometry, as listed in the Alexandria database.

Geometry as POSCAR:
```
LaTaHgF2
1.0
-1.9802 1.8266 -3.4814
0.3165 -3.8113 -2.1797
-5.9181 -1.8589 2.3909
F La Hg Ta
2 1 1 1
Direct
0.0000 0.5000 0.0000
0.5000 0.0000 0.0000
0.0000 0.0000 0.0000
0.5000 0.5000 0.5000
0.0000 0.0000 0.5000
```

## Properties
SG: P4/mmm (123)
E_form (uncorrected) (eV per atom): -1.133
Total DFT energy (no corrections) (eV per atom): -5.60



(2)
First-principles (PBEsol) data for crystalline LiHgF3 at its relaxed geometry, as listed in the Alexandria database.

Geometry as POSCAR:
```
LiHgF3
1.0
-2.0989 3.2303 2.3057
0.1071 -2.5613 3.6858
3.9673 1.7781 1.1203
F Hg Li
3 1 1
Direct
0.0000 0.5000 0.5000
0.5000 0.0000 0.5000
0.5000 0.5000 0.0000
0.5000 0.5000 0.5000
0.0000 0.0000 0.0000
```

## Properties
SG: Pm-3m (221)
E_form (uncorrected) (eV per atom): -1.604
Total DFT energy (no corrections) (eV per atom): -3.27



(3)
First-principles (PBEsol) data for crystalline MgTl2HgF at its relaxed geometry, as listed in the Alexandria database.

Geometry as POSCAR:
```
MgTl2HgF
1.0
-3.5839 -3.4540 1.6980
0.3095 -2.7138 -4.8672
4.0729 -3.2169 2.0527
Mg Tl Hg F
1 2 1 1
Direct
0.5000 0.0000 0.0000
0.0000 0.0000 0.5000
0.0000 0.5000 0.0000
0.0000 0.0000 0.0000
0.5000 0.5000 0.5000
```

## Properties
SG: P4/mmm (123)
E_form (uncorrected) (eV per atom): -0.148
Total DFT energy (no corrections) (eV per atom): -2.04



(4)
First-principles (PBEsol) data for crystalline Mn2HgF at its relaxed geometry, as listed in the Alexandria database.

Geometry as POSCAR:
```
Mn2HgF
1.0
4.4316 0.0000 0.0000
2.2158 3.8379 0.0000
2.2158 1.2793 3.6184
Mn Hg F
2 1 1
Direct
0.2500 0.2500 0.2500
0.7500 0.7500 0.7500
0.5000 0.5000 0.5000
0.0000 0.0000 0.0000
```

## Properties
SG: Fm-3m (225)
E_form (uncorrected) (eV per atom): 0.056
Total DFT energy (no corrections) (eV per atom): -5.45



(5)
First-principles (PBEsol) data for crystalline MnHgF3 at its relaxed geometry, as listed in the Alexandria database.

Geometry as POSCAR:
```
MnHgF3
1.0
4.4925 0.0000 0.0000
0.0000 4.4925 0.0000
0.0000 0.0000 4.4925
Mn Hg F
1 1 3
Direct
0.5000 0.5000 0.5000
0.0000 0.0000 0.0000
0.0000 0.5000 0.0000
0.0000 0.0000 0.5000
0.5000 0.0000 0.0000
```

## Properties
SG: Pm-3m (221)
E_form (uncorrected) (eV per atom): -0.774
Total DFT energy (no corrections) (eV per atom): -4.00



(6)
First-principles (PBEsol) data for crystalline MnHgOF2 at its relaxed geometry, as listed in the Alexandria database.

Geometry as POSCAR:
```
MnHgOF2
1.0
-1.7993 1.8608 2.7883
0.3236 -3.2629 2.3862
3.5584 1.3657 1.3848
Mn Hg O F
1 1 1 2
Direct
0.0000 0.0000 0.0000
0.5000 0.5000 0.5000
0.5000 0.0000 0.0000
0.0000 0.0000 0.5000
0.0000 0.5000 0.0000
```

## Properties
Energy above the most stable polymorph in this dataset (eV/atom): 0.000
SG: P4/mmm (123)
E_form (uncorrected) (eV per atom): -1.386
Total DFT energy (no corrections) (eV per atom): -5.27



(7)
First-principles (PBEsol) data for crystalline MnHgOF2 at its relaxed geometry, as listed in the Alexandria database.

Geometry as POSCAR:
```
MnHgOF2
1.0
-0.9629 -1.6941 3.6877
-2.0610 -3.3356 -2.0705
3.7902 -2.3003 -0.0671
Mn Hg O F
1 1 1 2
Direct
0.5000 0.5000 0.5000
0.0000 0.0000 0.0000
0.5000 0.0000 0.0000
0.0000 0.0000 0.5000
0.0000 0.5000 0.0000
```

## Properties
Energy above the most stable polymorph in this dataset (eV/atom): 0.988
SG: P4/mmm (123)
E_form (uncorrected) (eV per atom): -0.397
Total DFT energy (no corrections) (eV per atom): -4.28



(8)
First-principles (PBEsol) data for crystalline MnHgSF2 at its relaxed geometry, as listed in the Alexandria database.

Geometry as POSCAR:
```
MnHgSF2
1.0
3.7873 0.0000 0.0000
0.0000 3.7873 0.0000
0.0000 0.0000 6.3022
S Mn Hg F
1 1 1 2
Direct
0.5000 0.5000 0.5000
0.0000 0.0000 0.0000
0.0000 0.0000 0.5000
0.0000 0.5000 0.0000
0.5000 0.0000 0.0000
```

## Properties
SG: P4/mmm (123)
E_form (uncorrected) (eV per atom): -1.149
Total DFT energy (no corrections) (eV per atom): -4.86



(9)
First-principles (PBEsol) data for crystalline MnHg2SeF at its relaxed geometry, as listed in the Alexandria database.

Geometry as POSCAR:
```
MnHg2SeF
1.0
-2.2290 2.8645 -0.8994
-1.7926 0.1586 4.9478
3.8283 3.3805 1.2787
Mn Hg Se F
1 2 1 1
Direct
0.0000 0.0000 0.0000
0.0000 0.0000 0.5000
0.0000 0.5000 0.0000
0.5000 0.5000 0.5000
0.5000 0.0000 0.0000
```

## Properties
SG: P4/mmm (123)
E_form (uncorrected) (eV per atom): -0.269
Total DFT energy (no corrections) (eV per atom): -3.60



(10)
First-principles (PBEsol) data for crystalline HgMoOF2 at its relaxed geometry, as listed in the Alexandria database.

Geometry as POSCAR:
```
HgMoOF2
1.0
3.8000 0.0000 0.0000
0.0000 4.2552 0.0000
0.0000 0.0000 4.2552
Mo Hg O F
1 1 1 2
Direct
0.0000 0.0000 0.0000
0.5000 0.5000 0.5000
0.5000 0.0000 0.0000
0.0000 0.0000 0.5000
0.0000 0.5000 0.0000
```

## Properties
SG: P4/mmm (123)
E_form (uncorrected) (eV per atom): -1.383
Total DFT energy (no corrections) (eV per atom): -5.67



(11)
First-principles (PBEsol) data for crystalline RbHgMoF2 at its relaxed geometry, as listed in the Alexandria database.

Geometry as POSCAR:
```
RbHgMoF2
1.0
-2.7327 0.4038 -4.0093
3.9586 -0.6364 -2.7622
-0.9044 -5.7761 0.0347
Mo Hg Rb F
1 1 1 2
Direct
0.5000 0.5000 0.5000
0.0000 0.0000 0.5000
0.0000 0.0000 0.0000
0.0000 0.5000 0.0000
0.5000 0.0000 0.0000
```

## Properties
SG: P4/mmm (123)
E_form (uncorrected) (eV per atom): 0.097
Total DFT energy (no corrections) (eV per atom): -3.35



(12)
First-principles (PBEsol) data for crystalline NiHgNF2 at its relaxed geometry, as listed in the Alexandria database.

Geometry as POSCAR:
```
NiHgNF2
1.0
-3.1117 2.3366 0.1615
-1.9313 -2.4078 -2.3750
-1.2764 -1.9050 2.9692
Ni N Hg F
1 1 1 2
Direct
0.0000 0.0000 0.0000
0.0000 0.0000 0.5000
0.5000 0.5000 0.5000
0.0000 0.5000 0.0000
0.5000 0.0000 0.0000
```

## Properties
SG: P4/mmm (123)
E_form (uncorrected) (eV per atom): -0.327
Total DFT energy (no corrections) (eV per atom): -4.15



(13)
First-principles (PBEsol) data for crystalline Hg2OsNF at its relaxed geometry, as listed in the Alexandria database.

Geometry as POSCAR:
```
Hg2OsNF
1.0
-0.7947 2.1071 3.0429
-1.2531 -4.2043 2.5841
4.8178 -0.4648 1.5801
N Os Hg F
1 1 2 1
Direct
0.5000 0.5000 0.5000
0.5000 0.0000 0.0000
0.0000 0.0000 0.5000
0.0000 0.5000 0.0000
0.0000 0.0000 0.0000
```

## Properties
SG: P4/mmm (123)
E_form (uncorrected) (eV per atom): 1.742
Total DFT energy (no corrections) (eV per atom): -3.02



(14)
First-principles (PBEsol) data for crystalline RbHgNF2 at its relaxed geometry, as listed in the Alexandria database.

Geometry as POSCAR:
```
RbHgNF2
1.0
4.0762 0.0000 0.0000
0.0000 4.7922 0.0000
0.0000 0.0000 4.7922
N Hg Rb F
1 1 1 2
Direct
0.5000 0.0000 0.0000
0.0000 0.0000 0.0000
0.5000 0.5000 0.5000
0.0000 0.0000 0.5000
0.0000 0.5000 0.0000
```

## Properties
SG: P4/mmm (123)
E_form (uncorrected) (eV per atom): -0.691
Total DFT energy (no corrections) (eV per atom): -3.49



(15)
First-principles (PBEsol) data for crystalline HgRh2NF at its relaxed geometry, as listed in the Alexandria database.

Geometry as POSCAR:
```
HgRh2NF
1.0
-2.5382 -2.2611 1.7346
1.6060 -3.0538 -1.6306
2.9076 -0.4379 3.6837
N Rh Hg F
1 2 1 1
Direct
0.0000 0.0000 0.0000
0.0000 0.5000 0.0000
0.5000 0.0000 0.0000
0.5000 0.5000 0.5000
0.0000 0.0000 0.5000
```

## Properties
SG: P4/mmm (123)
E_form (uncorrected) (eV per atom): -0.075
Total DFT energy (no corrections) (eV per atom): -5.53



(16)
First-principles (PBEsol) data for crystalline HgRuNF2 at its relaxed geometry, as listed in the Alexandria database.

Geometry as POSCAR:
```
HgRuNF2
1.0
-2.9286 -1.9038 1.2820
2.0721 -0.7840 3.5695
-1.5562 3.5234 1.6773
Ru N Hg F
1 1 1 2
Direct
0.0000 0.0000 0.0000
0.5000 0.0000 0.0000
0.5000 0.5000 0.5000
0.0000 0.0000 0.5000
0.0000 0.5000 0.0000
```

## Properties
SG: P4/mmm (123)
E_form (uncorrected) (eV per atom): -0.417
Total DFT energy (no corrections) (eV per atom): -5.04



(17)
First-principles (PBEsol) data for crystalline HgSbNF2 at its relaxed geometry, as listed in the Alexandria database.

Geometry as POSCAR:
```
HgSbNF2
1.0
4.2096 0.0000 0.0000
0.0000 4.3256 0.0000
0.0000 0.0000 4.3256
Sb N Hg F
1 1 1 2
Direct
0.0000 0.0000 0.0000
0.5000 0.0000 0.0000
0.5000 0.5000 0.5000
0.0000 0.0000 0.5000
0.0000 0.5000 0.0000
```

## Properties
SG: P4/mmm (123)
E_form (uncorrected) (eV per atom): -0.545
Total DFT energy (no corrections) (eV per atom): -4.05



(18)
First-principles (PBEsol) data for crystalline SiHgNF2 at its relaxed geometry, as listed in the Alexandria database.

Geometry as POSCAR:
```
SiHgNF2
1.0
-0.4921 -3.0749 -1.1151
1.5670 1.1064 -3.7424
3.8521 -1.0851 1.2921
Si N Hg F
1 1 1 2
Direct
0.0000 0.0000 0.0000
0.5000 0.0000 0.0000
0.5000 0.5000 0.5000
0.0000 0.0000 0.5000
0.0000 0.5000 0.0000
```

## Properties
SG: P4/mmm (123)
E_form (uncorrected) (eV per atom): -0.946
Total DFT energy (no corrections) (eV per atom): -4.69



(19)
First-principles (PBEsol) data for crystalline TcHgNF2 at its relaxed geometry, as listed in the Alexandria database.

Geometry as POSCAR:
```
TcHgNF2
1.0
-1.8623 3.4088 -1.5426
-3.8766 -1.5335 1.2914
0.4872 2.0063 3.8451
N F Hg Tc
1 2 1 1
Direct
0.5000 0.0000 0.0000
0.0000 0.0000 0.5000
0.0000 0.5000 0.0000
0.0000 0.0000 0.0000
0.5000 0.5000 0.5000
```

## Properties
SG: P4/mmm (123)
E_form (uncorrected) (eV per atom): 0.807
Total DFT energy (no corrections) (eV per atom): -4.04



(20)
First-principles (PBEsol) data for crystalline YHgNF2 at its relaxed geometry, as listed in the Alexandria database.

Geometry as POSCAR:
```
YHgNF2
1.0
4.2272 0.0000 0.0000
0.0000 4.2272 0.0000
0.0000 0.0000 4.7339
Y N Hg F
1 1 1 2
Direct
0.0000 0.0000 0.0000
0.0000 0.0000 0.5000
0.5000 0.5000 0.5000
0.0000 0.5000 0.0000
0.5000 0.0000 0.0000
```

## Properties
SG: P4/mmm (123)
E_form (uncorrected) (eV per atom): -1.692
Total DFT energy (no corrections) (eV per atom): -5.65



(21)
First-principles (PBEsol) data for crystalline Na3HgF at its relaxed geometry, as listed in the Alexandria database.

Geometry as POSCAR:
```
Na3HgF
1.0
5.6485 0.0000 0.0000
0.0000 5.6485 0.0000
0.0000 0.0000 5.6485
Na Hg F
3 1 1
Direct
0.0000 0.5000 0.0000
0.0000 0.0000 0.5000
0.5000 0.0000 0.0000
0.0000 0.0000 0.0000
0.5000 0.5000 0.5000
```

## Properties
SG: Pm-3m (221)
E_form (uncorrected) (eV per atom): -0.323
Total DFT energy (no corrections) (eV per atom): -1.66



(22)
First-principles (PBEsol) data for crystalline NaHgO2F at its relaxed geometry, as listed in the Alexandria database.

Geometry as POSCAR:
```
NaHgO2F
1.0
-3.4431 1.9926 0.4356
-1.2515 -2.7684 2.7717
1.6814 2.2485 3.0049
Na Hg O F
1 1 2 1
Direct
0.0000 0.0000 0.0000
0.5000 0.5000 0.5000
0.0000 0.0000 0.5000
0.0000 0.5000 0.0000
0.5000 0.0000 0.0000
```

## Properties
SG: P4/mmm (123)
E_form (uncorrected) (eV per atom): -0.035
Total DFT energy (no corrections) (eV per atom): -2.91



(23)
First-principles (PBEsol) data for crystalline NaHgPd2F at its relaxed geometry, as listed in the Alexandria database.

Geometry as POSCAR:
```
NaHgPd2F
1.0
-1.5890 2.8811 2.3398
-4.1218 -1.1738 -1.3539
-0.2859 -2.9216 3.4034
Na Hg Pd F
1 1 2 1
Direct
0.5000 0.0000 0.0000
0.5000 0.5000 0.5000
0.0000 0.0000 0.5000
0.0000 0.5000 0.0000
0.0000 0.0000 0.0000
```

## Properties
SG: P4/mmm (123)
E_form (uncorrected) (eV per atom): -0.385
Total DFT energy (no corrections) (eV per atom): -3.55



(24)
First-principles (PBEsol) data for crystalline NaScHg2F at its relaxed geometry, as listed in the Alexandria database.

Geometry as POSCAR:
```
NaScHg2F
1.0
3.8151 0.0000 0.0000
0.0000 5.3771 0.0000
0.0000 0.0000 5.3771
Sc Na Hg F
1 1 2 1
Direct
0.5000 0.5000 0.5000
0.0000 0.0000 0.0000
0.0000 0.0000 0.5000
0.0000 0.5000 0.0000
0.5000 0.0000 0.0000
```

## Properties
SG: P4/mmm (123)
E_form (uncorrected) (eV per atom): -0.581
Total DFT energy (no corrections) (eV per atom): -2.79



(25)
First-principles (PBEsol) data for crystalline NaTi2HgF at its relaxed geometry, as listed in the Alexandria database.

Geometry as POSCAR:
```
NaTi2HgF
1.0
3.7079 0.0000 0.0000
0.0000 5.1689 0.0000
0.0000 0.0000 5.1689
Na F Hg Ti
1 1 1 2
Direct
0.0000 0.0000 0.0000
0.5000 0.0000 0.0000
0.5000 0.5000 0.5000
0.0000 0.0000 0.5000
0.0000 0.5000 0.0000
```

## Properties
SG: P4/mmm (123)
E_form (uncorrected) (eV per atom): 0.454
Total DFT energy (no corrections) (eV per atom): -3.65



(26)
First-principles (PBEsol) data for crystalline NbHg2F at its relaxed geometry, as listed in the Alexandria database.

Geometry as POSCAR:
```
NbHg2F
1.0
-4.2943 -1.8174 0.2145
-1.6049 -1.7271 4.0288
-3.3705 2.2433 2.3233
Nb Hg F
1 2 1
Direct
0.5000 0.5000 0.5000
0.2500 0.2500 0.2500
0.7500 0.7500 0.7500
0.0000 0.0000 0.0000
```

## Properties
SG: Fm-3m (225)
E_form (uncorrected) (eV per atom): 0.122
Total DFT energy (no corrections) (eV per atom): -3.35



(27)
First-principles (PBEsol) data for crystalline NbHg3F6 at its relaxed geometry, as listed in the Alexandria database.

Geometry as POSCAR:
```
NbHg3F6
1.0
-1.0088 -4.2184 -2.6553
4.4689 2.3585 -0.5745
2.8991 -4.1541 5.4981
Nb Hg F
1 3 6
Direct
0.0000 0.0000 0.0000
0.0000 0.0000 0.5000
0.6667 0.3333 0.5000
0.3333 0.6667 0.5000
0.6955 0.6955 0.8459
0.0000 0.3045 0.8459
0.3045 0.0000 0.8459
0.0000 0.6955 0.1541
0.3045 0.3045 0.1541
0.6955 0.0000 0.1541
```

## Properties
SG: P-31m (162)
E_form (uncorrected) (eV per atom): -2.072
Total DFT energy (no corrections) (eV per atom): -4.48